9
Lattice="0.997 0.989 -7.524 2.428 -1.352 7.131 -2.613 -7.139 -0.885" Properties=species:S:1:pos:R:3 comment="As4Cl5 (PBE, relaxed)" sg="No. 139" magnetic_moment_mub_per_cell=1.71 relative_energy_mev_per_atom=274 formation_energy_uncorrected_ev_per_atom=0.3025 dft_energy_ev_per_cell=-25.1 pbc="T T T"
As -1.037 -3.947 -5.397
As -0.579 -2.203 -3.012
As -0.066 -3.042 2.238
As -0.119 -5.449 4.008
Cl 0.000 0.000 0.000
Cl 1.479 0.201 -2.591
Cl 1.946 -0.564 2.198
Cl -0.606 -4.928 -0.728
Cl 1.418 -2.574 -0.550

***

6
Lattice="0.000 4.049 4.049 4.049 0.000 4.049 4.049 4.049 0.000" Properties=species:S:1:pos:R:3 comment="AsCl5 (PBE, relaxed)" sg="No. 216" magnetic_moment_mub_per_cell=1.93 formation_energy_uncorrected_ev_per_atom=0.8502 dft_energy_ev_per_cell=-8.8 pbc="T T T"
As 0.000 0.000 0.000
Cl 2.024 2.024 2.024
Cl 5.066 5.066 5.066
Cl 3.032 3.032 5.066
Cl 5.066 3.032 3.032
Cl 3.032 5.066 3.032

***

4
Lattice="-0.238 -1.302 3.586 -1.036 -1.924 -3.136 9.297 -3.776 -0.754" Properties=species:S:1:pos:R:3 comment="AsCl3 (PBE, relaxed)" sg="No. 65" magnetic_moment_mub_per_cell=1.56 formation_energy_uncorrected_ev_per_atom=0.0437 dft_energy_ev_per_cell=-10.0 pbc="T T T"
As 0.000 0.000 0.000
Cl 7.030 -4.727 -0.397
Cl 4.648 -1.888 -0.377
Cl 0.993 -2.275 0.093

***

7
Lattice="2.925 -5.065 0.000 2.925 5.065 0.000 0.000 0.000 4.919" Properties=species:S:1:pos:R:3 comment="As3Cl4 (PBE, relaxed)" sg="No. 191" magnetic_moment_mub_per_cell=0.00 formation_energy_uncorrected_ev_per_atom=0.3133 dft_energy_ev_per_cell=-19.1 pbc="T T T"
As 1.462 2.533 0.000
As 2.925 0.000 0.000
As 1.462 -2.533 0.000
Cl 0.000 0.000 1.262
Cl 0.000 0.000 3.657
Cl 2.925 -1.688 2.459
Cl 2.925 1.688 2.459

***

8
Lattice="6.952 0.000 0.000 0.000 6.952 0.000 3.476 3.476 5.957" Properties=species:S:1:pos:R:3 comment="AsCl3 (PBE, relaxed)" sg="No. 122" magnetic_moment_mub_per_cell=0.37 formation_energy_uncorrected_ev_per_atom=0.0754 dft_energy_ev_per_cell=-19.8 pbc="T T T"
As 0.000 0.000 0.000
As 6.952 3.476 2.978
Cl 3.476 3.476 0.000
Cl 3.476 6.952 2.978
Cl 6.167 1.738 1.489
Cl 7.738 5.214 1.489
Cl 5.214 4.262 4.467
Cl 8.690 2.690 4.467

***

6
Lattice="0.929 2.966 5.644 -1.760 0.507 -6.177 -6.876 -1.362 1.847" Properties=species:S:1:pos:R:3 comment="AsCl5 (PBE, relaxed)" sg="No. 65" magnetic_moment_mub_per_cell=0.70 formation_energy_uncorrected_ev_per_atom=0.0548 dft_energy_ev_per_cell=-13.6 pbc="T T T"
As -0.416 1.736 -0.267
Cl -4.305 0.642 -1.327
Cl -1.393 0.842 -4.564
Cl -3.438 -0.681 0.924
Cl 0.562 2.630 4.031
Cl -3.402 1.468 2.641

***

4
Lattice="5.246 0.765 0.000 2.466 4.693 0.000 0.000 0.000 5.175" Properties=species:S:1:pos:R:3 comment="AsCl3 (PBE, relaxed)" sg="No. 65" magnetic_moment_mub_per_cell=1.43 formation_energy_uncorrected_ev_per_atom=0.2561 dft_energy_ev_per_cell=-9.2 pbc="T T T"
As 0.000 0.000 0.000
Cl 1.233 2.347 2.588
Cl 2.623 0.382 2.588
Cl 3.856 2.729 0.000

***

4
Lattice="-3.313 1.136 -2.523 0.084 -3.893 -1.862 -2.766 -1.479 2.966" Properties=species:S:1:pos:R:3 comment="AsCl3 (PBE, relaxed)" sg="No. 221" magnetic_moment_mub_per_cell=0.21 formation_energy_uncorrected_ev_per_atom=0.4752 dft_energy_ev_per_cell=-8.3 pbc="T T T"
As 0.000 0.000 0.000
Cl -1.341 -2.686 0.552
Cl -3.039 -0.172 0.221
Cl -1.614 -1.379 -2.193